1.
# TbSm5Tm5

A geometry-optimized TbSm5Tm5 structure (PBE, Alexandria).

Calculated values
As for the crystal system: hexagonal. The energy relative to the elements is 3.31 eV/f.u. As for the space group: P-6m2, No. 187. Its density of states at the Fermi level is 22.50 states/eV per cell.

a b c (Å): 6.038 6.038 11.750
angles (deg): 90.00 90.00 120.00
Sites, in units of the cell vectors:
Tb (0.333, 0.667, 0.000)
Sm (0.667, 0.333, 0.153)
Sm (0.667, 0.333, 0.847)
Sm (0.333, 0.667, 0.316)
Sm (0.333, 0.667, 0.684)
Sm (0.000, 0.000, 0.000)
Tm (0.333, 0.167, 0.500)
Tm (0.000, 0.000, 0.266)
Tm (0.833, 0.667, 0.500)
Tm (0.833, 0.167, 0.500)
Tm (0.000, 0.000, 0.734)



2.
# HoHf2Ta

A geometry-optimized HoHf2Ta structure (PBE, Alexandria).

Calculated values
As for the crystal system: trigonal. As for the polymorph energy (0 for the lowest one): 79 meV/atom. The energy relative to the elements is 0.98 eV/f.u. As for the space group: R-3m, No. 166. Its density of states at the Fermi level is 6.10 states/eV per cell.

a b c (Å): 3.169 3.169 10.689
angles (deg): 81.48 81.48 60.00
Sites, in units of the cell vectors:
Hf (0.257, 0.257, 0.228)
Hf (0.743, 0.743, 0.772)
Ho (0.500, 0.500, 0.500)
Ta (0.000, 0.000, 0.000)



3.
# Pr2MnZn3Ni12

A geometry-optimized Pr2MnZn3Ni12 structure (PBE, Alexandria).

Calculated values
As for the crystal system: trigonal. The energy relative to the elements is 2.27 eV/f.u. As for the space group: R-3m, No. 166. Its density of states at the Fermi level is 15.94 states/eV per cell.

a b c (Å): 9.268 9.268 9.268
angles (deg): 38.16 38.16 38.16
Last column: magnetic moment on the atom in μB.
Sites, in units of the cell vectors:
Pr (0.655, 0.655, 0.655)  -0.07
Pr (0.345, 0.345, 0.345)  -0.07
Mn (0.000, 0.000, 0.000)  2.88
Zn (0.500, 0.000, 0.000)  0.00
Zn (0.000, 0.500, 0.000)  0.00
Zn (0.000, 0.000, 0.500)  0.00
Ni (0.422, 0.422, 0.812)  0.08
Ni (0.932, 0.932, 0.347)  0.23
Ni (0.347, 0.932, 0.932)  0.23
Ni (0.812, 0.422, 0.422)  0.08
Ni (0.932, 0.347, 0.932)  0.23
Ni (0.422, 0.812, 0.422)  0.08
Ni (0.578, 0.578, 0.188)  0.08
Ni (0.068, 0.068, 0.653)  0.23
Ni (0.653, 0.068, 0.068)  0.23
Ni (0.188, 0.578, 0.578)  0.08
Ni (0.068, 0.653, 0.068)  0.23
Ni (0.578, 0.188, 0.578)  0.08



4.
# K3OsI2F6

A geometry-optimized K3OsI2F6 structure (PBE, Alexandria).

Calculated values
As for the crystal system: monoclinic. As for the space group: C2/m, No. 12. Its density of states at the Fermi level is 4.88 states/eV per cell. The total energy comes out at -51.49 eV for the cell shown.

a b c (Å): 5.548 7.788 9.069
angles (deg): 115.43 90.58 90.00
Last column: magnetic moment on the atom in μB.
Sites, in units of the cell vectors:
K (0.000, 0.500, 0.000)  0.00
K (0.500, 0.500, 0.500)  0.00
K (0.500, 0.000, 0.500)  0.00
Os (0.500, 0.000, 0.000)  2.12
I (0.999, 0.702, 0.404)  0.01
I (0.001, 0.298, 0.596)  0.01
F (0.737, 0.182, 0.005)  0.12
F (0.263, 0.818, 0.995)  0.12
F (0.506, 0.882, 0.763)  0.09
F (0.494, 0.118, 0.237)  0.09
F (0.263, 0.177, 0.995)  0.12
F (0.737, 0.823, 0.005)  0.12



5.
# Hf4Hg2N

A geometry-optimized Hf4Hg2N structure (PBE, Alexandria).

Calculated values
As for the crystal system: tetragonal. As for the polymorph energy (0 for the lowest one): 61 meV/atom. As for the space group: I4/mmm, No. 139. Its density of states at the Fermi level is 3.51 states/eV per cell.

a b c (Å): 4.366 4.366 7.904
angles (deg): 73.97 73.97 90.00
Sites, in units of the cell vectors:
Hf (0.840, 0.840, 0.320)
Hf (0.160, 0.160, 0.680)
Hf (0.000, 0.500, 0.000)
Hf (0.500, 0.000, 0.000)
Hg (0.642, 0.642, 0.716)
Hg (0.358, 0.358, 0.284)
N (0.000, 0.000, 0.000)



6.
# PrY4Tm3

A geometry-optimized PrY4Tm3 structure (PBE, Alexandria).

Calculated values
As for the crystal system: monoclinic. As for the polymorph energy (0 for the lowest one): 24 meV/atom. The energy relative to the elements is 0.23 eV/f.u. As for the space group: P2/m, No. 10. Its density of states at the Fermi level is 12.08 states/eV per cell.

a b c (Å): 3.566 7.952 10.662
angles (deg): 81.36 70.46 63.29
Sites, in units of the cell vectors:
Pr (0.500, 0.500, 0.000)
Y (0.000, 0.752, 0.747)
Y (0.494, 0.753, 0.253)
Y (0.000, 0.248, 0.253)
Y (0.505, 0.248, 0.747)
Tm (0.500, 0.000, 0.500)
Tm (0.000, 0.000, 0.000)
Tm (0.000, 0.500, 0.500)



7.
# CaScTa2

A geometry-optimized CaScTa2 structure (PBE, Alexandria).

Calculated values
As for the crystal system: monoclinic. As for the polymorph energy (0 for the lowest one): 265 meV/atom. The energy relative to the elements is 2.11 eV/f.u. As for the space group: C2/m, No. 12. Its density of states at the Fermi level is 4.75 states/eV per cell.

a b c (Å): 5.413 5.413 5.954
angles (deg): 85.56 85.56 32.10
Sites, in units of the cell vectors:
Sc (0.250, 0.250, 0.250)
Ca (0.750, 0.750, 0.750)
Ta (0.991, 0.991, 0.054)
Ta (0.509, 0.509, 0.446)



8.
# Al2AgTe

A geometry-optimized Al2AgTe structure (PBE, Alexandria).

Calculated values
As for the crystal system: monoclinic. As for the space group: Cm, No. 8. Its density of states at the Fermi level is 0.45 states/eV per cell. The total energy comes out at -13.30 eV for the cell shown.

a b c (Å): 4.675 4.675 6.338
angles (deg): 66.38 66.38 48.19
Sites, in units of the cell vectors:
Te (0.426, 0.426, 0.480)
Al (0.035, 0.035, 0.988)
Al (0.791, 0.791, 0.834)
Ag (0.248, 0.248, 0.197)